Entry 1:
Computed, not measured: crystalline TlCd2Ir at its relaxed geometry at the GGA-PBEsol level of DFT.

Results
**Fermi-level density of states**: 2.45 states/eV per cell
**Energy above the lowest structure with this stoichiometry**: 0 meV/atom
**SG**: Immm
**E**: -0.129 Ha/atom
**Formation energy**: 0.21 eV per atom
**Total magnetic moment**: 0.0 μB/cell

abc: 4.037 4.074 9.018
angles: 90.00 90.00 90.00
Fractional positions:
Tl: 0.000 0.000 0.000
Tl: 0.500 0.500 0.500
Cd: 0.000 0.500 0.249
Cd: 0.000 0.500 0.751
Cd: 0.500 0.000 0.251
Cd: 0.500 0.000 0.749
Ir: 0.000 0.000 0.500
Ir: 0.500 0.500 0.000

=====

Entry 2:
Computed, not measured: crystalline Tl2CdIr at its relaxed geometry at the GGA-PBEsol level of DFT.

Results
**Fermi-level density of states**: 2.02 states/eV per cell
**Energy above the lowest structure with this stoichiometry**: 121 meV/atom
**SG**: P4/mmm
**E**: -0.136 Ha/atom
**Formation energy**: 0.38 eV per atom
**Total magnetic moment**: 0.0 μB/cell

abc: 3.129 3.129 8.693
angles: 90.00 90.00 90.00
Fractional positions:
Tl: 0.000 0.000 0.212
Tl: 0.000 0.000 0.788
Cd: 0.500 0.500 0.500
Ir: 0.500 0.500 0.000

=====

Entry 3:
Computed, not measured: crystalline Tl2CdIr at its relaxed geometry at the GGA-PBEsol level of DFT.

Results
**Fermi-level density of states**: 1.74 states/eV per cell
**Energy above the lowest structure with this stoichiometry**: 0 meV/atom
**SG**: P4mm
**E**: -0.140 Ha/atom
**Formation energy**: 0.26 eV per atom
**Total magnetic moment**: 0.0 μB/cell

abc: 3.142 3.142 8.745
angles: 90.00 90.00 90.00
Fractional positions:
Tl: 0.000 0.000 0.000
Tl: 0.500 0.500 0.314
Cd: 0.000 0.000 0.601
Ir: 0.500 0.500 0.794